Entry 1:
# Ho2TmTl

Crystalline Ho2TmTl at its relaxed geometry (PBE-GGA, the Alexandria database).

Properties
Total moment (μB per formula unit): 0.0
Relative energy among the computed polymorphs (meV/atom): 9.9
VASP energy (eV per atom): -4.157
Density (g/cm3): 10.0
Calculated volume (Å³ per cell): 117

Unit cell a=3.577 b=3.577 c=9.144 alpha=90.00 beta=90.00 gamma=90.00
Fractional positions:
Tl1 0.500 0.500 0.000
Tm1 0.500 0.500 0.500
Ho1 0.000 0.000 0.767
Ho2 0.000 0.000 0.233


Entry 2:
# VH2AuN

Crystalline VH2AuN at its relaxed geometry (PBE-GGA, the Alexandria database).

Properties
Total moment (μB per formula unit): 0.0
Relative energy among the computed polymorphs (meV/atom): 199.7
VASP energy (eV per atom): -5.542
Density (g/cm3): 8.8
Calculated volume (Å³ per cell): 149

Unit cell a=2.924 b=2.924 c=20.148 alpha=90.00 beta=90.00 gamma=120.00
Fractional positions:
V1 0.000 0.000 0.068
V2 0.333 0.667 0.735
V3 0.667 0.333 0.401
H1 0.000 0.000 0.779
H2 0.333 0.667 0.446
H3 0.667 0.333 0.113
H4 0.000 0.000 0.161
H5 0.333 0.667 0.828
H6 0.667 0.333 0.495
Au1 0.000 0.000 0.247
Au2 0.333 0.667 0.913
Au3 0.667 0.333 0.580
N1 0.000 0.000 0.356
N2 0.333 0.667 0.022
N3 0.667 0.333 0.689


Entry 3:
# LaVCl3

Crystalline LaVCl3 at its relaxed geometry (PBE-GGA, the Alexandria database).

Properties
Total moment (μB per formula unit): 5.0
Relative energy among the computed polymorphs (meV/atom): 109.8
ΔE_f (raw) (eV/atom): -0.8532
VASP energy (eV per atom): -4.770
Density (g/cm3): 2.8
Calculated volume (Å³ per cell): 175

Unit cell a=5.592 b=5.592 c=5.592 alpha=90.00 beta=90.00 gamma=90.00
Each line ends with the local moment (μB).
Fractional positions:
Cl1 0.000 0.500 0.000  0.03
Cl2 0.000 0.000 0.500  0.03
Cl3 0.500 0.000 0.000  0.03
La1 0.000 0.000 0.000  0.12
V1 0.500 0.500 0.500  3.42


Entry 4:
# Hg2H3Pd4

Crystalline Hg2H3Pd4 at its relaxed geometry (PBE-GGA, the Alexandria database).

Properties
Total moment (μB per formula unit): 0.0
VASP energy (eV per atom): -3.602
Density (g/cm3): 12.2
Calculated volume (Å³ per cell): 226

Unit cell a=4.602 b=7.429 c=7.429 alpha=75.76 beta=71.96 gamma=71.96
Fractional positions:
Hg1 0.744 0.624 0.376
Hg2 0.756 0.124 0.876
Hg3 0.244 0.876 0.124
Hg4 0.256 0.376 0.624
H1 0.250 0.507 0.993
H2 0.250 0.993 0.507
H3 0.750 0.007 0.493
H4 0.750 0.750 0.750
H5 0.750 0.493 0.007
H6 0.250 0.250 0.250
Pd1 0.415 0.965 0.714
Pd2 0.915 0.214 0.465
Pd3 0.593 0.535 0.786
Pd4 0.585 0.035 0.286
Pd5 0.085 0.786 0.535
Pd6 0.407 0.465 0.214
Pd7 0.093 0.286 0.035
Pd8 0.907 0.714 0.965